(1)
The following is a PBE calculation of a relaxed YSb2PI crystal, from Alexandria.

The space group is P4/mmm (No. 123) and the conventional cell measures 5.9462, 5.9462 and 5.8741 Å, with angles of 90.00, 90.00 and 90.00 degrees. Symmetry generates all atoms from Y at (0.0000, 0.0000, 0.0000), Sb at (0.0000, 0.5000, 0.0000), P at (0.5000, 0.5000, 0.5000) and I at (0.0000, 0.0000, 0.5000).

As for the total magnetic moment: 0.972 Bohr magnetons per cell. The formation energy without anion corrections is 0.5953 eV/atom. The electronic total energy comes out at -3.738 eV/atom.

=====

(2)
The following is a PBE calculation of a relaxed CeTmMgPb crystal, from Alexandria.

The space group is F-43m (No. 216) and the conventional cell measures 7.6331, 7.6331 and 7.6331 Å, with angles of 90.00, 90.00 and 90.00 degrees. Symmetry generates all atoms from Ce at (0.0000, 0.0000, 0.0000), Tm at (0.0000, 0.0000, 0.5000), Mg at (0.2500, 0.2500, 0.2500) and Pb at (0.2500, 0.2500, 0.7500).

As for the total magnetic moment: 4.999 Bohr magnetons per cell. The value obtained for the calculated formation energy is -198 meV/atom. The electronic total energy comes out at -4.125 eV/atom.

=====

(3)
The following is a PBE calculation of a relaxed LiAcAs2Pt4 crystal, from Alexandria.

The space group is P4/mmm (No. 123) and the conventional cell measures 4.0638, 4.0638 and 10.5768 Å, with angles of 90.00, 90.00 and 90.00 degrees. Symmetry generates all atoms from Li at (0.0000, 0.0000, 0.0000), Ac at (0.0000, 0.0000, 0.5000), As at (0.5000, 0.5000, 0.1384) and Pt at (0.0000, 0.5000, 0.2734).

As for the total magnetic moment: 0.000 Bohr magnetons per cell. The value obtained for the calculated formation energy is -551 meV/atom. The electronic total energy comes out at -5.486 eV/atom.